## 1
Ho4InPt | PBE | relaxed

DOS(E_F): 6.39 states/eV/f.u.

a b c (Å): 6.933 7.085 7.440
angles (deg): 90.00 92.29 90.00
Fractional positions:
Pt  0.000  0.500  0.500
Pt  0.500  0.000  0.500
Ho  0.826  0.162  0.356
Ho  0.174  0.838  0.644
Ho  0.122  0.358  0.821
Ho  0.674  0.662  0.644
Ho  0.878  0.642  0.179
Ho  0.326  0.338  0.356
Ho  0.622  0.142  0.821
Ho  0.378  0.858  0.179
In  0.500  0.500  0.000
In  0.000  0.000  0.000


## 2
Ho4InPt | PBE | relaxed

DOS(E_F): 4.75 states/eV/f.u.

a b c (Å): 9.674 9.674 9.674
angles (deg): 60.00 60.00 60.00
Fractional positions:
Pt  0.180  0.607  0.607
Pt  0.607  0.607  0.607
Pt  0.607  0.607  0.180
Pt  0.607  0.180  0.607
Ho  0.804  0.399  0.399
Ho  0.813  0.187  0.813
Ho  0.399  0.399  0.399
Ho  0.187  0.813  0.813
Ho  0.561  0.939  0.561
Ho  0.813  0.813  0.187
Ho  0.399  0.399  0.804
Ho  0.939  0.561  0.939
Ho  0.187  0.187  0.813
Ho  0.187  0.813  0.187
Ho  0.561  0.561  0.939
Ho  0.939  0.561  0.561
Ho  0.813  0.187  0.187
Ho  0.939  0.939  0.561
Ho  0.561  0.939  0.939
Ho  0.399  0.804  0.399
In  0.167  0.167  0.500
In  0.167  0.500  0.167
In  0.500  0.167  0.167
In  0.167  0.167  0.167


Relative energy of each structure, in kJ/mol of atoms: 1 23.9; 2 0.0.


## 1
Ho3InPt | PBE | relaxed

DOS(E_F): 3.71 states/eV/f.u.

a b c (Å): 7.313 9.061 9.061
angles (deg): 73.69 90.00 90.00
Fractional positions:
In  0.750  0.999  0.001
In  0.750  0.326  0.674
In  0.250  0.674  0.326
In  0.250  0.001  0.999
Ho  0.495  0.030  0.693
Ho  0.000  0.369  0.369
Ho  0.495  0.306  0.970
Ho  0.500  0.631  0.631
Ho  0.005  0.307  0.970
Ho  0.505  0.694  0.030
Ho  0.505  0.970  0.307
Ho  0.995  0.970  0.306
Ho  0.995  0.693  0.030
Ho  0.000  0.631  0.631
Ho  0.005  0.030  0.694
Ho  0.500  0.369  0.369
Pt  0.750  0.873  0.560
Pt  0.750  0.440  0.127
Pt  0.250  0.560  0.873
Pt  0.250  0.127  0.440


## 2
Ho3InPt | PBE | relaxed

DOS(E_F): 3.91 states/eV/f.u.

a b c (Å): 5.812 5.812 9.366
angles (deg): 66.17 66.17 71.05
Fractional positions:
Ho  0.704  0.704  0.091
Ho  0.922  0.922  0.280
Ho  0.698  0.698  0.707
Ho  0.302  0.302  0.293
Ho  0.296  0.296  0.909
Ho  0.078  0.078  0.720
In  0.705  0.295  0.500
In  0.295  0.705  0.500
Pt  0.745  0.255  0.000
Pt  0.255  0.745  0.000


Relative energy of each structure, in kJ/mol of atoms: 1 7.8; 2 0.0.


## 1
Ho2PuIn | PBE | relaxed

DOS(E_F): 11.10 states/eV/f.u.

a b c (Å): 3.405 3.405 11.928
angles (deg): 81.80 81.80 60.00
Site moments in Bohr magnetons follow the coordinates.
Fractional positions:
Pu  0.000  0.000  0.000  5.79
Ho  0.093  0.093  0.720  0.06
Ho  0.907  0.907  0.280  0.06
In  0.500  0.500  0.500  0.00


## 2
Ho2PuIn | PBE | relaxed

DOS(E_F): 9.07 states/eV/f.u.

a b c (Å): 3.489 3.489 9.077
angles (deg): 90.00 90.00 90.00
Site moments in Bohr magnetons follow the coordinates.
Fractional positions:
Ho  0.000  0.000  0.235  0.10
Ho  0.000  0.000  0.765  0.10
In  0.500  0.500  0.000  -0.03
Pu  0.500  0.500  0.500  5.44


## 3
Ho2PuIn | PBE | relaxed

DOS(E_F): 10.18 states/eV/f.u.

a b c (Å): 3.504 3.504 10.966
angles (deg): 80.81 80.81 60.00
Site moments in Bohr magnetons follow the coordinates.
Fractional positions:
Ho  0.080  0.080  0.760  0.20
Ho  0.253  0.253  0.240  0.11
In  0.667  0.667  0.000  0.01
Pu  0.500  0.500  0.501  5.58


## 4
Ho2PuIn | PBE | relaxed

DOS(E_F): 13.61 states/eV/f.u.

a b c (Å): 5.380 5.380 5.380
angles (deg): 60.00 60.00 60.00
Site moments in Bohr magnetons follow the coordinates.
Fractional positions:
Ho  0.250  0.250  0.250  0.29
Ho  0.750  0.750  0.750  0.29
In  0.500  0.500  0.500  -0.06
Pu  0.000  0.000  0.000  5.64


Relative energy of each structure, in kJ/mol of atoms: 1 27.7; 2 0.0; 3 7.8; 4 9.2.


## 1
HoPu2In | PBE | relaxed

DOS(E_F): 10.69 states/eV/f.u.

a b c (Å): 5.137 4.536 4.536
angles (deg): 90.00 90.00 90.00
Site moments in Bohr magnetons follow the coordinates.
Fractional positions:
Pu  0.000  0.000  0.500  5.59
Pu  0.000  0.500  0.000  5.59
In  0.500  0.000  0.000  -0.10
Ho  0.500  0.500  0.500  0.22


## 2
HoPu2In | PBE | relaxed

DOS(E_F): 13.65 states/eV/f.u.

a b c (Å): 5.374 5.374 5.374
angles (deg): 60.00 60.00 60.00
Site moments in Bohr magnetons follow the coordinates.
Fractional positions:
Pu  0.250  0.250  0.250  5.52
Pu  0.750  0.750  0.750  5.52
Ho  0.000  0.000  0.000  0.52
In  0.500  0.500  0.500  -0.05


Relative energy of each structure, in kJ/mol of atoms: 1 0.0; 2 20.9.


## 1
HoPuTlIn | PBE | relaxed

DOS(E_F): 9.82 states/eV/f.u.

a b c (Å): 5.364 5.364 5.364
angles (deg): 60.00 60.00 60.00
Site moments in Bohr magnetons follow the coordinates.
Fractional positions:
In  0.500  0.500  0.500  -0.01
Ho  0.250  0.250  0.250  0.20
Tl  0.000  0.000  0.000  0.00
Pu  0.750  0.750  0.750  5.47


## 2
HoPuTlIn | PBE | relaxed

DOS(E_F): 8.06 states/eV/f.u.

a b c (Å): 3.359 3.359 9.375
angles (deg): 90.00 90.00 90.00
Site moments in Bohr magnetons follow the coordinates.
Fractional positions:
In  0.000  0.000  0.076  -0.02
Tl  0.000  0.000  0.567  -0.02
Pu  0.500  0.500  0.823  5.56
Ho  0.500  0.500  0.319  0.21


Relative energy of each structure, in kJ/mol of atoms: 1 3.3; 2 0.0.


## 1
Ho4InRh | PBE | relaxed

DOS(E_F): 3.66 states/eV/f.u.

a b c (Å): 9.609 9.609 9.609
angles (deg): 60.00 60.00 60.00
Fractional positions:
Ho  0.812  0.188  0.812
Ho  0.600  0.600  0.201
Ho  0.440  0.060  0.440
Ho  0.060  0.060  0.440
Ho  0.188  0.812  0.188
Ho  0.188  0.812  0.812
Ho  0.600  0.201  0.600
Ho  0.060  0.440  0.060
Ho  0.600  0.600  0.600
Ho  0.812  0.812  0.188
Ho  0.440  0.060  0.060
Ho  0.440  0.440  0.060
Ho  0.201  0.600  0.600
Ho  0.188  0.188  0.812
Ho  0.060  0.440  0.440
Ho  0.812  0.188  0.188
Rh  0.392  0.392  0.392
Rh  0.392  0.392  0.824
Rh  0.392  0.824  0.392
Rh  0.824  0.392  0.392
In  0.833  0.501  0.833
In  0.501  0.833  0.833
In  0.833  0.833  0.833
In  0.833  0.833  0.501


## 2
Ho4InRh | PBE | relaxed

DOS(E_F): 5.44 states/eV/f.u.

a b c (Å): 6.022 8.992 7.835
angles (deg): 115.47 99.76 111.98
Fractional positions:
In  0.626  0.376  0.753
In  0.374  0.624  0.247
Ho  0.770  0.720  0.660
Ho  0.390  0.940  0.660
Ho  0.091  0.206  0.843
Ho  0.230  0.280  0.340
Ho  0.252  0.637  0.843
Ho  0.909  0.794  0.157
Ho  0.610  0.060  0.340
Ho  0.748  0.363  0.157
Rh  0.750  0.000  0.999
Rh  0.250  0.000  0.001


Relative energy of each structure, in kJ/mol of atoms: 1 0.0; 2 7.8.


## 1
Ho6In2Rh | PBE | relaxed

DOS(E_F): 10.62 states/eV/f.u.

a b c (Å): 3.793 8.636 8.629
angles (deg): 120.03 90.00 90.00
Fractional positions:
Rh  0.500  0.001  0.000
In  0.000  0.667  0.334
In  0.000  0.333  0.666
Ho  0.500  0.606  0.000
Ho  0.000  0.000  0.243
Ho  0.500  0.393  0.393
Ho  0.000  0.757  0.757
Ho  0.500  0.000  0.607
Ho  0.000  0.244  0.000


## 2
Ho6In2Rh | PBE | relaxed

DOS(E_F): 7.95 states/eV/f.u.

a b c (Å): 5.060 7.224 8.627
angles (deg): 114.75 107.04 90.00
Fractional positions:
Ho  0.155  0.394  0.310
Ho  0.845  0.606  0.690
Ho  0.155  0.915  0.310
Ho  0.845  0.085  0.690
Ho  0.500  0.773  0.000
Ho  0.500  0.227  0.000
In  0.333  0.333  0.666
In  0.667  0.667  0.334
Rh  0.000  0.000  0.000


Relative energy of each structure, in kJ/mol of atoms: 1 0.0; 2 18.2.


## 1
Ho2InRh | PBE | relaxed

DOS(E_F): 1.80 states/eV/f.u.

a b c (Å): 5.073 5.073 5.073
angles (deg): 60.00 60.00 60.00
Fractional positions:
In  0.000  0.000  0.000
Ho  0.750  0.750  0.750
Ho  0.250  0.250  0.250
Rh  0.500  0.500  0.500


## 2
Ho2InRh | PBE | relaxed

DOS(E_F): 2.27 states/eV/f.u.

a b c (Å): 3.769 3.769 8.677
angles (deg): 77.46 77.46 60.00
Fractional positions:
Ho  0.266  0.266  0.202
Ho  0.734  0.734  0.798
Rh  0.000  0.000  0.000
In  0.500  0.500  0.500


Relative energy of each structure, in kJ/mol of atoms: 1 0.0; 2 3.5.